RhWO2: relaxed, PBE+U.

POSCAR file:
```
RhWO2
1.0
1.390 0.802 6.877
-1.390 0.802 6.877
0.000 -1.605 6.877
Rh W O
1 1 2
direct
0.000 0.000 0.000
0.500 0.500 0.500
0.099 0.099 0.099
0.901 0.901 0.901
```

ρ = 11.51 Mg/m³
distance to the lowest polymorph of the same formula = 0 meV/atom
M_tot = 0.00 Bohr magnetons per cell
uncorrected energy = -6.871 eV/atom